First-principles (PBE+U) data for AsW3F after structural relaxation, as listed in Alexandria.

a = 4.778 Å, b = 4.778 Å, c = 4.778 Å
α = 90.00°, β = 90.00°, γ = 90.00°
Fractional coordinates of all 5 atoms:
W 0.500 0.000 0.000
W 0.000 0.500 0.000
W 0.000 0.000 0.500
F 0.500 0.500 0.500
As 0.000 0.000 0.000

The calculation puts the total energy at -18.5 eV per cell.